Density functional theory data (PBE with a Hubbard U) for a relaxed RuWN2O crystal.

The space group is P4/mmm (No. 123) and the conventional cell measures 3.812, 3.812 and 4.096 Å, with angles of 90.00, 90.00 and 90.00 degrees. Symmetry generates all atoms from Ru at (0.000, 0.000, 0.000), W at (0.500, 0.500, 0.500), N at (0.000, 0.500, 0.000) and O at (0.000, 0.000, 0.500).

The magnetic moment comes out at 0.42 μB/f.u. For the total energy, the calculation gives -6.569 eV/atom.